[1]
VASP calculation (GGA-PBE) on a relaxed AcLaPmIr2 crystal.

Cell: 4.433 9.041 7.926 Å, 88.32 73.76 75.81°
Atoms (fractional coordinates):
Ir 0.187 0.711 0.915
Ir 0.652 0.121 0.575
Ir 0.813 0.289 0.085
Ir 0.348 0.879 0.425
Ac 0.177 0.279 0.368
Ac 0.823 0.721 0.632
La 0.084 0.049 0.784
La 0.916 0.951 0.216
Pm 0.618 0.624 0.139
Pm 0.382 0.376 0.861

Results
Raw total energy (eV/cell): -69.325

[2]
VASP calculation (GGA-PBE) on a relaxed AcLaPrIr2 crystal.

Cell: 4.447 9.109 7.946 Å, 87.98 73.75 75.87°
Atoms (fractional coordinates):
Ir 0.654 0.118 0.574
Ir 0.186 0.714 0.915
Ir 0.346 0.882 0.426
Ir 0.814 0.286 0.085
Ac 0.821 0.725 0.633
Ac 0.179 0.275 0.367
La 0.084 0.047 0.784
La 0.916 0.953 0.216
Pr 0.617 0.625 0.142
Pr 0.383 0.375 0.858

Results
Raw total energy (eV/cell): -69.224

[3]
VASP calculation (GGA-PBE) on a relaxed Ac2La2IrPt2 crystal.

Cell: 4.198 8.169 7.586 Å, 61.72 73.94 75.11°
Atoms (fractional coordinates):
Ac 0.532 0.237 0.700
Ac 0.468 0.763 0.300
La 0.213 0.723 0.851
La 0.787 0.277 0.149
Pt 0.123 0.449 0.305
Pt 0.877 0.551 0.695
Ir 0.000 0.000 0.000

Results
Raw total energy (eV/cell): -45.126

Here are the calculated energy of formation numbers, same order: -0.631; -0.615; -0.873 (eV per atom).